Density functional theory data (GGA-PBE) for an optimized crystal structure of Rb2Ca2Ti.

Unit cell a=12.363 b=12.363 c=12.363 alpha=157.29 beta=157.29 gamma=32.34
Positions (direct):
Rb: 0.093 0.093 0.000
Rb: 0.907 0.907 0.000
Ca: 0.250 0.750 0.500
Ca: 0.750 0.250 0.500
Ti: 0.500 0.500 0.000

## Properties
magnetic moment: 0.01 μB/atom
offset from the most stable computed form: 0.54 eV per formula unit
electronic total energy: -1.69 eV/atom
E_form: 1.07 eV per atom